Record 1
First-principles (PBE-GGA) data for a relaxed structure of Tb2DyErTm6, as listed in the Alexandria database.

Cell and atoms, written as POSCAR:
```
Tb2DyErTm6
1.0
4.4520 -7.4127 0.0000
4.4520 7.4127 0.0000
-1.3334 0.0000 9.3574
Tb Dy Er Tm
4 2 2 12
direct
0.1955 0.3012 0.0441
0.3012 0.1955 0.5441
0.6988 0.8045 0.4559
0.8045 0.6988 0.9559
0.0217 0.9783 0.2500
0.9783 0.0217 0.7500
0.4083 0.5917 0.7500
0.5917 0.4083 0.2500
0.0208 0.5724 0.1850
0.1260 0.7486 0.5571
0.2514 0.8740 0.9429
0.2902 0.5033 0.3807
0.4276 0.9792 0.3150
0.4967 0.7098 0.1193
0.5033 0.2902 0.8807
0.5724 0.0208 0.6850
0.7098 0.4967 0.6193
0.7486 0.1260 0.0571
0.8740 0.2514 0.4429
0.9792 0.4276 0.8150
```

Properties
For the density of states at the Fermi level, the calculation gives 26.93 states/eV per cell. The value obtained for the formation enthalpy at 0 K is 0.121 eV/atom. As for the space group: C2/c. Its total energy is -88.09 eV per cell. The volume comes out at 617.6 Å³/cell.

Record 2
First-principles (PBE-GGA) data for a relaxed structure of Nb3GaTc, as listed in the Alexandria database.

Cell and atoms, written as POSCAR:
```
Nb3GaTc
1.0
4.6913 0.0000 0.0000
0.0000 4.6913 0.0000
0.0000 0.0000 4.6913
Nb Ga Tc
3 1 1
direct
0.0000 0.0000 0.5000
0.0000 0.5000 0.0000
0.5000 0.0000 0.0000
0.0000 0.0000 0.0000
0.5000 0.5000 0.5000
```

Properties
For the density of states at the Fermi level, the calculation gives 10.00 states/eV per cell. The value obtained for the formation enthalpy at 0 K is 1.355 eV/atom. As for the space group: Pm-3m. Its total energy is -36.83 eV per cell. For the relative energy among the computed polymorphs, the calculation gives 384 meV/atom. The volume comes out at 103.2 Å³/cell.

Record 3
First-principles (PBE-GGA) data for a relaxed structure of TcSn2W, as listed in the Alexandria database.

Cell and atoms, written as POSCAR:
```
TcSn2W
1.0
0.0000 3.3006 3.3006
3.3006 0.0000 3.3006
3.3006 3.3006 0.0000
Tc Sn W
1 2 1
direct
0.0000 0.0000 0.0000
0.2500 0.2500 0.2500
0.7500 0.7500 0.7500
0.5000 0.5000 0.5000
```

Properties
For the density of states at the Fermi level, the calculation gives 6.46 states/eV per cell. The value obtained for the formation enthalpy at 0 K is 0.524 eV/atom. As for the space group: Fm-3m. Its total energy is -29.23 eV per cell. For the relative energy among the computed polymorphs, the calculation gives 0 meV/atom. The volume comes out at 71.9 Å³/cell.

Record 4
First-principles (PBE-GGA) data for a relaxed structure of TePb, as listed in the Alexandria database.

Cell and atoms, written as POSCAR:
```
TePb
1.0
-6.4892 6.4892 2.2025
6.4892 -6.4892 2.2025
6.4892 6.4892 -2.2025
Te Pb
4 4
direct
0.1263 0.3393 0.4656
0.3393 0.8737 0.2131
0.6607 0.1263 0.7869
0.8737 0.6607 0.5344
0.1136 0.7770 0.8906
0.2230 0.1136 0.3366
0.7770 0.8864 0.6634
0.8864 0.2230 0.1094
```

Properties
Its uncorrected formation energy is -231 meV/atom. As for the space group: I4/m. Its total energy is -29.25 eV per cell. The volume comes out at 371.0 Å³/cell.

Record 5
First-principles (PBE-GGA) data for a relaxed structure of PbI2O2, as listed in the Alexandria database.

Cell and atoms, written as POSCAR:
```
PbI2O2
1.0
4.3591 0.0000 0.0000
0.0000 4.3591 0.0000
0.0000 0.0000 7.3951
Pb I O
1 2 2
direct
0.0000 0.0000 0.0000
0.0000 0.0000 0.5000
0.5000 0.5000 0.5000
0.0000 0.5000 0.0000
0.5000 0.0000 0.0000
```

Properties
For the density of states at the Fermi level, the calculation gives 2.25 states/eV per cell. Its uncorrected formation energy is -5 meV/atom. As for the space group: P4/mmm. Its total energy is -16.75 eV per cell. For the relative energy among the computed polymorphs, the calculation gives 0 meV/atom. The volume comes out at 140.5 Å³/cell.

Record 6
First-principles (PBE-GGA) data for a relaxed structure of Ti2RuAu, as listed in the Alexandria database.

Cell and atoms, written as POSCAR:
```
Ti2RuAu
1.0
3.0516 0.0000 0.0000
0.0000 3.0516 0.0000
0.0000 0.0000 6.8859
Ti Ru Au
2 1 1
direct
0.0000 0.0000 0.2239
0.0000 0.0000 0.7761
0.5000 0.5000 0.0000
0.5000 0.5000 0.5000
```

Properties
For the density of states at the Fermi level, the calculation gives 4.07 states/eV per cell. The value obtained for the formation enthalpy at 0 K is -0.509 eV/atom. As for the space group: P4/mmm. Its total energy is -30.38 eV per cell. The volume comes out at 64.1 Å³/cell.